{"formula": "Pm2ZrSb3Ir4", "functional": "PBE-GGA", "state": "optimized geometry", "cell": [[-2.9258, -3.1386, -0.6278], [0.8700, 0.0387, -4.2481], [8.1462, -7.9132, 1.5962]], "species": ["Pm", "Ir", "Ir", "Ir", "Sb", "Sb", "Ir", "Zr", "Sb", "Pm"], "frac_coords": [[0.5000, 0.0000, 0.2329], [0.5000, 0.5000, 0.0000], [0.0000, 0.0000, 0.0000], [0.5000, 0.0000, 0.6395], [0.5000, 0.0000, 0.8644], [0.0000, 0.5000, 0.1356], [0.0000, 0.5000, 0.3605], [0.5000, 0.5000, 0.5000], [0.0000, 0.0000, 0.5000], [0.0000, 0.5000, 0.7671]], "e_form_raw_ev_per_atom": -0.70, "space_group": "No. 115", "volume_a3_per_fu": 215.66, "total_energy_ev_per_atom": -7.28}

***

{"formula": "InFeAs2", "functional": "PBE-GGA", "state": "optimized geometry", "cell": [[5.5604, 0.4487, 0.0000], [2.3602, 5.0546, 0.0000], [-3.9603, -2.7517, 2.8043]], "species": ["In", "As", "As", "Fe"], "frac_coords": [[0.7500, 0.2500, 0.5000], [0.0000, 0.0000, 0.0000], [0.2500, 0.7500, 0.5000], [0.5000, 0.5000, 0.0000]], "delta_e_f_mev_per_atom": 451, "space_group": "No. 119", "volume_a3_per_fu": 75.85, "total_energy_ev_per_atom": -4.67}